Record 1
The following is a PBEsol calculation of MnTlCo after structural relaxation, from the Alexandria database.

Cell and atoms, written as POSCAR:
```
MnTlCo
1.0
4.220 0.000 0.000
-2.110 3.654 0.000
0.000 0.000 2.909
Mn Tl Co
1 1 1
direct
0.000 0.000 0.000
0.667 0.333 0.419
0.333 0.667 0.796
```

E_tot	-18.53	eV per cell
symmetry	P3m1 (156)
formation energy	1.60	eV/f.u.

---

Record 2
The following is a PBEsol calculation of MnCoW after structural relaxation, from the Alexandria database.

Cell and atoms, written as POSCAR:
```
MnCoW
1.0
5.571 0.000 0.000
0.000 5.571 0.000
0.000 0.000 5.571
Mn Co W
4 4 4
direct
0.000 0.000 0.000
0.000 0.500 0.500
0.500 0.000 0.500
0.500 0.500 0.000
0.000 0.000 0.500
0.000 0.500 0.000
0.500 0.000 0.000
0.500 0.500 0.500
0.250 0.250 0.750
0.250 0.750 0.250
0.750 0.250 0.250
0.750 0.750 0.750
```

E_tot	-115.11	eV per cell
symmetry	F-43m (216)
formation energy	2.53	eV/f.u.

---

Record 3
The following is a PBEsol calculation of Mn2CoW after structural relaxation, from the Alexandria database.

Cell and atoms, written as POSCAR:
```
Mn2CoW
1.0
3.125 0.000 0.000
0.000 3.994 0.000
0.000 0.000 7.772
Mn Co W
4 2 2
direct
0.000 0.000 0.247
0.000 0.000 0.753
0.500 0.500 0.253
0.500 0.500 0.747
0.000 0.500 0.500
0.500 0.000 0.000
0.000 0.500 0.000
0.500 0.000 0.500
```

E_tot	-80.75	eV per cell
energy above the most stable polymorph in this dataset	0.106	eV/atom
symmetry	Immm (71)
formation energy	0.69	eV/f.u.

---

Record 4
The following is a PBEsol calculation of MnCo6W after structural relaxation, from the Alexandria database.

Cell and atoms, written as POSCAR:
```
MnCo6W
1.0
3.493 -4.953 0.000
3.493 4.953 0.000
0.000 0.000 9.900
Mn Co W
4 24 4
direct
0.000 0.000 0.246
0.000 0.000 0.754
0.255 0.745 0.000
0.745 0.255 0.000
0.000 0.000 0.000
0.000 0.000 0.500
0.120 0.372 0.123
0.120 0.372 0.877
0.122 0.370 0.373
0.122 0.370 0.627
0.248 0.752 0.246
0.248 0.752 0.754
0.370 0.122 0.373
0.370 0.122 0.627
0.372 0.120 0.123
0.372 0.120 0.877
0.500 0.500 0.000
0.500 0.500 0.500
0.628 0.880 0.123
0.628 0.880 0.877
0.630 0.878 0.373
0.630 0.878 0.627
0.752 0.248 0.246
0.752 0.248 0.754
0.878 0.630 0.373
0.878 0.630 0.627
0.880 0.628 0.123
0.880 0.628 0.877
0.253 0.747 0.500
0.500 0.500 0.248
0.500 0.500 0.752
0.747 0.253 0.500
```

E_tot	-280.25	eV per cell
symmetry	Cmmm (65)
formation energy	-0.07	eV/f.u.

---

Record 5
The following is a PBEsol calculation of MnCo2W after structural relaxation, from the Alexandria database.

Cell and atoms, written as POSCAR:
```
MnCo2W
1.0
3.559 0.000 0.000
0.000 3.559 0.000
0.000 0.000 7.192
Mn Co W
2 4 2
direct
0.000 0.000 0.000
0.500 0.500 0.500
0.000 0.500 0.250
0.000 0.500 0.750
0.500 0.000 0.250
0.500 0.000 0.750
0.000 0.000 0.500
0.500 0.500 0.000
```

E_tot	-78.27	eV per cell
energy above the most stable polymorph in this dataset	0.028	eV/atom
symmetry	I4/mmm (139)
formation energy	-0.09	eV/f.u.

---

Record 6
The following is a PBEsol calculation of MnCo2W after structural relaxation, from the Alexandria database.

Cell and atoms, written as POSCAR:
```
MnCo2W
1.0
3.562 0.000 0.000
0.000 3.562 0.000
0.000 0.000 3.594
Mn Co W
1 2 1
direct
0.000 0.000 0.000
0.000 0.500 0.500
0.500 0.000 0.500
0.500 0.500 0.000
```

E_tot	-39.24	eV per cell
energy above the most stable polymorph in this dataset	0.000	eV/atom
symmetry	P4/mmm (123)
formation energy	-0.20	eV/f.u.

---

Record 7
The following is a PBEsol calculation of Mn2CoW after structural relaxation, from the Alexandria database.

Cell and atoms, written as POSCAR:
```
Mn2CoW
1.0
5.783 0.000 0.000
0.000 5.783 0.000
0.000 0.000 5.783
Mn Co W
8 4 4
direct
0.250 0.250 0.250
0.250 0.250 0.750
0.250 0.750 0.250
0.250 0.750 0.750
0.750 0.250 0.250
0.750 0.250 0.750
0.750 0.750 0.250
0.750 0.750 0.750
0.000 0.000 0.000
0.000 0.500 0.500
0.500 0.000 0.500
0.500 0.500 0.000
0.000 0.000 0.500
0.000 0.500 0.000
0.500 0.000 0.000
0.500 0.500 0.500
```

E_tot	-163.19	eV per cell
energy above the most stable polymorph in this dataset	0.000	eV/atom
symmetry	Fm-3m (225)
formation energy	0.27	eV/f.u.

---

Record 8
The following is a PBEsol calculation of Mn2CoW after structural relaxation, from the Alexandria database.

Cell and atoms, written as POSCAR:
```
Mn2CoW
1.0
3.584 0.000 0.000
0.000 3.584 0.000
0.000 0.000 7.287
Mn Co W
4 2 2
direct
0.000 0.000 0.000
0.000 0.500 0.250
0.500 0.000 0.750
0.500 0.500 0.500
0.000 0.500 0.750
0.500 0.000 0.250
0.000 0.000 0.500
0.500 0.500 0.000
```

E_tot	-81.57	eV per cell
energy above the most stable polymorph in this dataset	0.003	eV/atom
symmetry	I-4m2 (119)
formation energy	0.28	eV/f.u.

---

Record 9
The following is a PBEsol calculation of MnCo2W after structural relaxation, from the Alexandria database.

Cell and atoms, written as POSCAR:
```
MnCo2W
1.0
4.168 0.000 0.000
0.000 4.168 0.000
0.000 0.000 2.816
Mn Co W
1 2 1
direct
0.000 0.000 0.000
0.000 0.500 0.500
0.500 0.000 0.500
0.500 0.500 0.000
```

E_tot	-38.30	eV per cell
energy above the most stable polymorph in this dataset	0.237	eV/atom
symmetry	P4/mmm (123)
formation energy	0.75	eV/f.u.

---

Record 10
The following is a PBEsol calculation of YMn2CoW after structural relaxation, from the Alexandria database.

Cell and atoms, written as POSCAR:
```
YMn2CoW
1.0
4.541 0.000 0.000
0.000 4.541 0.000
0.000 0.000 4.262
Y Mn Co W
1 2 1 1
direct
0.000 0.000 0.000
0.000 0.500 0.000
0.500 0.000 0.000
0.000 0.000 0.500
0.500 0.500 0.500
```

E_tot	-36.65	eV per cell
symmetry	P4/mmm (123)
formation energy	11.24	eV/f.u.

---

Record 11
The following is a PBEsol calculation of Y2Mn5Co12 after structural relaxation, from the Alexandria database.

Cell and atoms, written as POSCAR:
```
Y2Mn5Co12
1.0
4.056 2.342 3.962
-4.056 2.342 3.962
0.000 -4.683 3.962
Y Mn Co
2 5 12
direct
0.152 0.152 0.152
0.848 0.848 0.848
0.000 0.500 0.500
0.411 0.411 0.411
0.500 0.000 0.500
0.500 0.500 0.000
0.589 0.589 0.589
0.158 0.158 0.642
0.158 0.642 0.158
0.208 0.500 0.792
0.208 0.792 0.500
0.358 0.842 0.842
0.500 0.208 0.792
0.500 0.792 0.208
0.642 0.158 0.158
0.792 0.208 0.500
0.792 0.500 0.208
0.842 0.358 0.842
0.842 0.842 0.358
```

E_tot	-155.92	eV per cell
symmetry	R-3m (166)
formation energy	-0.63	eV/f.u.

---

Record 12
The following is a PBEsol calculation of MnZnCo after structural relaxation, from the Alexandria database.

Cell and atoms, written as POSCAR:
```
MnZnCo
1.0
2.514 0.000 0.000
0.000 2.514 0.000
0.000 0.000 10.509
Mn Zn Co
2 2 2
direct
0.000 0.000 0.000
0.500 0.500 0.500
0.000 0.000 0.683
0.500 0.500 0.183
0.000 0.000 0.358
0.500 0.500 0.858
```

E_tot	-38.01	eV per cell
energy above the most stable polymorph in this dataset	0.000	eV/atom
symmetry	I4mm (107)
formation energy	0.07	eV/f.u.

---

Record 13
The following is a PBEsol calculation of MnZnCo after structural relaxation, from the Alexandria database.

Cell and atoms, written as POSCAR:
```
MnZnCo
1.0
2.502 0.000 0.000
-1.251 2.167 0.000
0.000 0.000 6.148
Mn Zn Co
1 1 1
direct
0.000 0.000 0.000
0.333 0.667 0.645
0.667 0.333 0.300
```

E_tot	-18.82	eV per cell
energy above the most stable polymorph in this dataset	0.062	eV/atom
symmetry	P3m1 (156)
formation energy	0.26	eV/f.u.

---

Record 14
The following is a PBEsol calculation of ZrMnCo2 after structural relaxation, from the Alexandria database.

Cell and atoms, written as POSCAR:
```
ZrMnCo2
1.0
5.975 0.000 0.000
0.000 5.975 0.000
0.000 0.000 5.975
Zr Mn Co
4 4 8
direct
0.000 0.000 0.000
0.000 0.500 0.500
0.500 0.000 0.500
0.500 0.500 0.000
0.000 0.000 0.500
0.000 0.500 0.000
0.500 0.000 0.000
0.500 0.500 0.500
0.250 0.250 0.250
0.250 0.250 0.750
0.250 0.750 0.250
0.250 0.750 0.750
0.750 0.250 0.250
0.750 0.250 0.750
0.750 0.750 0.250
0.750 0.750 0.750
```

E_tot	-139.51	eV per cell
symmetry	Fm-3m (225)
formation energy	-0.55	eV/f.u.

---

Record 15
The following is a PBEsol calculation of ZrMn2Co after structural relaxation, from the Alexandria database.

Cell and atoms, written as POSCAR:
```
ZrMn2Co
1.0
5.948 0.000 0.000
0.000 5.948 0.000
0.000 0.000 5.948
Zr Mn Co
4 8 4
direct
0.000 0.000 0.000
0.000 0.500 0.500
0.500 0.000 0.500
0.500 0.500 0.000
0.000 0.000 0.500
0.000 0.500 0.000
0.250 0.250 0.250
0.250 0.750 0.750
0.500 0.000 0.000
0.500 0.500 0.500
0.750 0.250 0.750
0.750 0.750 0.250
0.250 0.250 0.750
0.250 0.750 0.250
0.750 0.250 0.250
0.750 0.750 0.750
```

E_tot	-144.58	eV per cell
symmetry	F-43m (216)
formation energy	0.20	eV/f.u.

---

Record 16
The following is a PBEsol calculation of ZrMnCo2 after structural relaxation, from the Alexandria database.

Cell and atoms, written as POSCAR:
```
ZrMnCo2
1.0
3.051 0.000 0.000
0.000 3.051 0.000
0.000 0.000 5.597
Zr Mn Co
1 1 2
direct
0.000 0.000 0.000
0.500 0.500 0.685
0.000 0.000 0.503
0.500 0.500 0.265
```

E_tot	-33.94	eV per cell
symmetry	P4mm (99)
formation energy	0.39	eV/f.u.

---

Record 17
The following is a PBEsol calculation of ZrMn2Co after structural relaxation, from the Alexandria database.

Cell and atoms, written as POSCAR:
```
ZrMn2Co
1.0
3.061 0.000 0.000
0.000 4.108 0.000
0.000 0.000 8.588
Zr Mn Co
2 4 2
direct
0.000 0.000 0.000
0.500 0.500 0.500
0.000 0.000 0.482
0.000 0.500 0.232
0.500 0.000 0.732
0.500 0.500 0.982
0.000 0.500 0.757
0.500 0.000 0.257
```

E_tot	-71.56	eV per cell
symmetry	Imm2 (44)
formation energy	0.57	eV/f.u.

---

Record 18
The following is a PBEsol calculation of Zr4MnCo after structural relaxation, from the Alexandria database.

Cell and atoms, written as POSCAR:
```
Zr4MnCo
1.0
0.000 3.887 3.887
3.887 0.000 3.887
3.887 3.887 0.000
Zr Mn Co
4 1 1
direct
0.125 0.125 0.125
0.125 0.125 0.625
0.125 0.625 0.125
0.625 0.125 0.125
0.750 0.750 0.750
0.500 0.500 0.500
```

E_tot	-49.16	eV per cell
symmetry	F-43m (216)
formation energy	4.70	eV/f.u.

---

Record 19
The following is a PBEsol calculation of ZrMn2Co after structural relaxation, from the Alexandria database.

Cell and atoms, written as POSCAR:
```
ZrMn2Co
1.0
5.952 0.000 0.000
0.000 5.952 0.000
0.000 0.000 5.952
Zr Mn Co
4 8 4
direct
0.000 0.000 0.000
0.000 0.500 0.500
0.500 0.000 0.500
0.500 0.500 0.000
0.250 0.250 0.250
0.250 0.250 0.750
0.250 0.750 0.250
0.250 0.750 0.750
0.750 0.250 0.250
0.750 0.250 0.750
0.750 0.750 0.250
0.750 0.750 0.750
0.000 0.000 0.500
0.000 0.500 0.000
0.500 0.000 0.000
0.500 0.500 0.500
```

E_tot	-143.02	eV per cell
symmetry	Fm-3m (225)
formation energy	0.59	eV/f.u.

---

Record 20
The following is a PBEsol calculation of CoMo after structural relaxation, from the Alexandria database.

Cell and atoms, written as POSCAR:
```
CoMo
1.0
2.660 0.000 0.000
-1.330 2.304 0.000
0.000 0.000 4.150
Co Mo
1 1
direct
0.000 0.000 0.000
0.667 0.333 0.500
```

E_tot	-19.13	eV per cell
symmetry	P-6m2 (187)
formation energy	0.37	eV/f.u.